Entry 1:
This record from the Alexandria database describes an optimized crystal structure of KY2Te. The functional is PBE.

Cell and atoms, written as extended XYZ:
```
4
Lattice="0.0000 4.0698 4.0698 4.0698 0.0000 4.0698 4.0698 4.0698 0.0000" Properties=species:S:1:pos:R:3 pbc="T T T"
K 0.0000 0.0000 0.0000
Y 4.0698 4.0698 4.0698
Y 6.1047 6.1047 6.1047
Te 2.0349 2.0349 2.0349
```

Computed properties:
- E: -4.161 eV per atom
- Energy relative to the elements, uncorrected: 51 kJ/mol of formula units
- Symmetry: F-43m, No. 216
- Fermi-level density of states: 8.58 states/eV/f.u.

Entry 2:
This record from the Alexandria database describes an optimized crystal structure of KYTe2. The functional is PBE.

Cell and atoms, written as extended XYZ:
```
4
Lattice="2.7504 -2.7560 0.0000 2.7504 2.7560 0.0000 0.0000 0.0000 8.5407" Properties=species:S:1:pos:R:3 pbc="T T T"
K 0.0000 0.0000 0.0000
Y 0.0000 0.0000 4.2704
Te 2.7504 0.0000 2.4709
Te 2.7504 0.0000 6.0699
```

Computed properties:
- E: -4.636 eV per atom
- Energy relative to the elements, uncorrected: -453 kJ/mol of formula units
- Symmetry: Cmmm, No. 65
- Fermi-level density of states: 0.95 states/eV/f.u.

Entry 3:
This record from the Alexandria database describes an optimized crystal structure of KY2Te. The functional is PBE.

Cell and atoms, written as extended XYZ:
```
8
Lattice="-2.4256 2.4256 11.7434 2.4256 -2.4256 11.7434 2.4256 2.4256 -11.7434" Properties=species:S:1:pos:R:3 pbc="T T T"
K 0.0000 0.0000 0.0000
K 0.0000 2.4256 5.8717
Y 1.2128 -1.0785 8.8076
Y 1.3471 1.2128 2.9359
Y 1.2128 3.5041 -2.9359
Y 1.0785 1.2128 14.6793
Te 2.4256 0.0000 5.8717
Te 0.0000 0.0000 11.7434
```

Computed properties:
- E: -4.348 eV per atom
- Energy relative to the elements, uncorrected: -22 kJ/mol of formula units
- Symmetry: I-42d, No. 122
- Fermi-level density of states: 6.15 states/eV/f.u.

Entry 4:
This record from the Alexandria database describes an optimized crystal structure of KYTe2. The functional is PBE.

Cell and atoms, written as extended XYZ:
```
8
Lattice="-4.1322 4.1322 5.3771 4.1322 -4.1322 5.3771 4.1322 4.1322 -5.3771" Properties=species:S:1:pos:R:3 pbc="T T T"
K 0.0000 0.0000 0.0000
K 0.0000 4.1322 2.6886
Y 4.1322 0.0000 2.6886
Y 0.0000 0.0000 5.3771
Te 2.0661 -1.6205 4.0328
Te 2.5117 2.0661 1.3443
Te 2.0661 5.7527 -1.3443
Te 1.6205 2.0661 6.7214
```

Computed properties:
- E: -4.645 eV per atom
- Energy relative to the elements, uncorrected: -457 kJ/mol of formula units
- Symmetry: I-42d, No. 122
- Fermi-level density of states: 0.00 states/eV/f.u.

Entry 5:
This record from the Alexandria database describes an optimized crystal structure of KY2Te2. The functional is PBE.

Cell and atoms, written as extended XYZ:
```
5
Lattice="-2.5182 2.5182 7.5088 2.5182 -2.5182 7.5088 2.5182 2.5182 -7.5088" Properties=species:S:1:pos:R:3 pbc="T T T"
K 0.0000 0.0000 0.0000
Y 2.5182 0.0000 3.7544
Y 0.0000 2.5182 3.7544
Te 0.0000 0.0000 5.4732
Te 0.0000 0.0000 9.5444
```

Computed properties:
- Energy relative to the lowest polymorph listed for this composition: 0.000 eV per formula unit
- E: -4.954 eV per atom
- Energy relative to the elements, uncorrected: -430 kJ/mol of formula units
- Symmetry: I4/mmm, No. 139
- Fermi-level density of states: 5.34 states/eV/f.u.

Entry 6:
This record from the Alexandria database describes an optimized crystal structure of KY2Te. The functional is PBE.

Cell and atoms, written as extended XYZ:
```
4
Lattice="3.9971 0.0000 0.0000 0.0000 3.9971 0.0000 0.0000 0.0000 9.3400" Properties=species:S:1:pos:R:3 pbc="T T T"
K 0.0000 0.0000 0.0000
Y 0.0000 0.0000 3.9023
Y 1.9985 1.9985 5.9553
Te 1.9985 1.9985 2.5783
```

Computed properties:
- E: -4.801 eV per atom
- Energy relative to the elements, uncorrected: -197 kJ/mol of formula units
- Symmetry: P4mm, No. 99
- Fermi-level density of states: 4.58 states/eV/f.u.

Entry 7:
This record from the Alexandria database describes an optimized crystal structure of KY3Te. The functional is PBE.

Cell and atoms, written as extended XYZ:
```
5
Lattice="5.8688 0.0000 0.0000 0.0000 5.8688 0.0000 0.0000 0.0000 5.8688" Properties=species:S:1:pos:R:3 pbc="T T T"
K 0.0000 0.0000 0.0000
Y 0.0000 2.9344 2.9344
Y 2.9344 0.0000 2.9344
Y 2.9344 2.9344 0.0000
Te 2.9344 2.9344 2.9344
```

Computed properties:
- Energy relative to the lowest polymorph listed for this composition: 0.000 eV per formula unit
- E: -4.660 eV per atom
- Energy relative to the elements, uncorrected: 32 kJ/mol of formula units
- Symmetry: Pm-3m, No. 221
- Fermi-level density of states: 9.10 states/eV/f.u.

Entry 8:
This record from the Alexandria database describes an optimized crystal structure of KYTe2. The functional is PBE.

Cell and atoms, written as extended XYZ:
```
4
Lattice="2.2391 1.2928 8.3850 -2.2391 1.2928 8.3850 0.0000 -2.5855 8.3850" Properties=species:S:1:pos:R:3 pbc="T T T"
K 0.0000 0.0000 0.0000
Y 0.0000 0.0000 4.2441
Te 0.0000 0.0000 14.3607
Te 0.0000 0.0000 19.2705
```

Computed properties:
- E: -4.860 eV per atom
- Energy relative to the elements, uncorrected: -540 kJ/mol of formula units
- Symmetry: R3m, No. 160

Copy entry 6 word for word.
This record from the Alexandria database describes an optimized crystal structure of KY2Te. The functional is PBE.

Cell and atoms, written as extended XYZ:
```
4
Lattice="3.9971 0.0000 0.0000 0.0000 3.9971 0.0000 0.0000 0.0000 9.3400" Properties=species:S:1:pos:R:3 pbc="T T T"
K 0.0000 0.0000 0.0000
Y 0.0000 0.0000 3.9023
Y 1.9985 1.9985 5.9553
Te 1.9985 1.9985 2.5783
```

Computed properties:
- E: -4.801 eV per atom
- Energy relative to the elements, uncorrected: -197 kJ/mol of formula units
- Symmetry: P4mm, No. 99
- Fermi-level density of states: 4.58 states/eV/f.u.

Which formula does entry 8 have?
KYTe2

Among the records above, which one has the lowest energy relative to the elements, uncorrected?
number 8

Which value of E does entry 6 give?
-4.801 eV per atom